No. 1
Below is an optimized crystal structure of LiTl2I3, with properties calculated at the PBE-GGA level.

The structure in POSCAR format:
```
LiTl2I3
1.0
10.022 0.000 0.000
0.000 4.759 0.000
0.000 0.000 19.634
Li Tl I
4 8 12
Direct
0.133 0.250 0.135
0.367 0.750 0.635
0.633 0.250 0.365
0.867 0.750 0.865
0.071 0.250 0.716
0.245 0.250 0.464
0.255 0.750 0.964
0.429 0.750 0.216
0.571 0.250 0.784
0.745 0.250 0.036
0.755 0.750 0.536
0.929 0.750 0.284
0.003 0.750 0.100
0.121 0.750 0.573
0.190 0.250 0.273
0.310 0.750 0.773
0.379 0.250 0.073
0.497 0.250 0.600
0.503 0.750 0.400
0.621 0.750 0.927
0.690 0.250 0.227
0.810 0.750 0.727
0.879 0.250 0.427
0.997 0.250 0.900
```

Computed properties:
For the total energy, the calculation gives -2.7195 eV per atom. Its symmetry is Pnma.

No. 2
Below is an optimized crystal structure of TiPdSe2, with properties calculated at the PBE-GGA level.

The structure in POSCAR format:
```
TiPdSe2
1.0
1.800 1.039 7.883
-1.800 1.039 7.883
0.000 -2.078 7.883
Ti Pd Se
1 1 2
Direct
0.000 0.000 0.000
0.500 0.500 0.500
0.103 0.103 0.103
0.897 0.897 0.897
```

Computed properties:
The value obtained for the distance to the lowest polymorph of the same formula is 741.1 meV/atom. Its symmetry is R-3m.

No. 3
Below is an optimized crystal structure of Ba2InTe2I2, with properties calculated at the PBE-GGA level.

The structure in POSCAR format:
```
Ba2InTe2I2
1.0
-2.938 2.938 8.989
2.938 -2.938 8.989
2.938 2.938 -8.989
Ba In Te I
2 1 2 2
Direct
0.120 0.120 0.000
0.880 0.880 0.000
0.500 0.500 0.000
0.000 0.500 0.500
0.500 0.000 0.500
0.312 0.312 0.000
0.688 0.688 0.000
```

Computed properties:
For the total energy, the calculation gives -3.5251 eV per atom. Its symmetry is I4/mmm.

No. 4
Below is an optimized crystal structure of MnTeBr, with properties calculated at the PBE-GGA level.

The structure in POSCAR format:
```
MnTeBr
1.0
3.767 0.000 0.000
-1.883 3.262 0.000
0.000 0.000 7.302
Mn Te Br
1 1 1
Direct
0.000 0.000 0.000
0.667 0.333 0.230
0.333 0.667 0.785
```

Computed properties:
For the total energy, the calculation gives -5.0598 eV per atom. Its symmetry is P3m1.

no.,density of states at the Fermi level (states/eV/cell)
1,0.00
2,4.65
3,1.96
4,1.96